Entry 1:
DFT (GGA-PBE) results for crystalline Sc2IrRh at its relaxed geometry.

Summary:
theoretical density: 9.3 Mg/m³
energy above the lowest structure with this stoichiometry: 0.2622 eV per atom
VASP energy: -8.00 eV/atom
total moment: 0.0 μB/cell

POSCAR file:
```
Sc2IrRh
1.0
5.436 -0.004 -0.125
2.772 4.676 0.125
-4.030 -2.467 2.691
Ir Rh Sc
1 1 2
Direct
0.500 0.500 0.000 Ir
0.250 0.750 0.500 Rh
0.000 0.000 0.000 Sc
0.749 0.249 0.500 Sc
```

---

Entry 2:
DFT (GGA-PBE) results for crystalline K2AgMo at its relaxed geometry.

Summary:
theoretical density: 3.3 Mg/m³
energy above the lowest structure with this stoichiometry: 0.0321 eV per atom
VASP energy: -3.04 eV/atom
total moment: 3.1 μB/cell

POSCAR file:
```
K2AgMo
1.0
3.709 0.000 0.000
0.000 3.709 0.000
0.000 0.000 10.223
Ag K Mo
1 2 1
Direct
0.500 0.500 0.673 Ag
0.000 0.000 0.917 K
0.500 0.500 0.325 K
0.000 0.000 0.585 Mo
```

---

- Which of these has the highest total moment?
  K2AgMo